1.
DFT (PBE) results for crystalline La2ZnSn at its relaxed geometry.

Cell lengths 8.601, 8.601, 6.535 Å; angles 90.00, 90.00, 90.00 degrees
Atoms (fractional coordinates):
La: 0.230 0.750 0.125
La: 0.250 0.230 0.875
La: 0.250 0.270 0.375
La: 0.270 0.750 0.625
La: 0.730 0.250 0.625
La: 0.750 0.730 0.375
La: 0.750 0.770 0.875
La: 0.770 0.250 0.125
Zn: 0.000 0.000 0.000
Zn: 0.000 0.500 0.250
Zn: 0.500 0.000 0.750
Zn: 0.500 0.500 0.500
Sn: 0.000 0.000 0.500
Sn: 0.000 0.500 0.750
Sn: 0.500 0.000 0.250
Sn: 0.500 0.500 0.000

DFT total energy: -4.015 eV/atom
Energy of formation from the pure elements: -232 meV per atom
DOS at the Fermi energy: 16.8 states/eV per cell

---

2.
DFT (PBE) results for crystalline AcLaPmPu at its relaxed geometry.

Cell lengths 8.339, 8.339, 8.339 Å; angles 90.00, 90.00, 90.00 degrees
Atoms (fractional coordinates):
Ac: 0.000 0.000 0.000
Ac: 0.000 0.500 0.500
Ac: 0.500 0.000 0.500
Ac: 0.500 0.500 0.000
La: 0.250 0.250 0.750
La: 0.250 0.750 0.250
La: 0.750 0.250 0.250
La: 0.750 0.750 0.750
Pm: 0.250 0.250 0.250
Pm: 0.250 0.750 0.750
Pm: 0.750 0.250 0.750
Pm: 0.750 0.750 0.250
Pu: 0.000 0.000 0.500
Pu: 0.000 0.500 0.000
Pu: 0.500 0.000 0.000
Pu: 0.500 0.500 0.500

DFT total energy: -6.766 eV/atom
Energy of formation from the pure elements: 264 meV per atom
DOS at the Fermi energy: 68.5 states/eV per cell

---

3.
DFT (PBE) results for crystalline As2HS6 at its relaxed geometry.

Cell lengths 9.645, 9.645, 6.013 Å; angles 102.89, 102.89, 62.31 degrees
Atoms (fractional coordinates):
As: 0.136 0.336 0.264
As: 0.336 0.136 0.764
As: 0.664 0.864 0.236
As: 0.864 0.664 0.736
H: 0.216 0.784 0.750
H: 0.784 0.216 0.250
S: 0.095 0.238 0.545
S: 0.139 0.575 0.881
S: 0.185 0.762 0.990
S: 0.238 0.095 0.045
S: 0.238 0.815 0.510
S: 0.425 0.861 0.619
S: 0.575 0.139 0.381
S: 0.762 0.185 0.490
S: 0.762 0.905 0.955
S: 0.815 0.238 0.010
S: 0.861 0.425 0.119
S: 0.905 0.762 0.455

DFT total energy: -4.144 eV/atom
DOS at the Fermi energy: 3.2 states/eV per cell